Here is an optimized crystal structure of NbSbPdO6 from Alexandria via LeMat-Bulk. Energies are from PBE-GGA.

The uncorrected formation energy comes out at -1.42 eV per atom. The calculation puts the total magnetic moment at 2.01 μB/f.u. As for the final energy: -6.88 eV per atom.

Cell: 5.3504 5.3504 9.2740 Å, 90.00 90.00 120.00°
Closest atoms and distances in Å follow each position.
Space group P-31c (No. 163)
Unique sites:
Nb: 0.3333 0.6667 0.2500 (multiplicity 2)  6 O 2.03
Sb: 0.3333 0.6667 0.7500 (multiplicity 2)  6 O 2.02
Pd: 0.0000 0.0000 0.0000 (multiplicity 2)  6 O 2.30
O: 0.0015 0.3617 0.6343 (multiplicity 12)  1 Sb 2.02, 1 Nb 2.03

=====

Here is an optimized crystal structure of Ti2NbPdO from Alexandria via LeMat-Bulk. Energies are from PBE-GGA.

The uncorrected formation energy comes out at -1.09 eV per atom. The calculation puts the total magnetic moment at 0.00 μB/f.u. As for the final energy: -8.29 eV per atom.

Cell: 4.0933 4.0933 4.2830 Å, 90.00 90.00 90.00°
Closest atoms and distances in Å follow each position.
Space group P4/mmm (No. 123)
Unique sites:
Ti: 0.0000 0.5000 0.0000 (multiplicity 2)  2 O 2.05
Nb: 0.0000 0.0000 0.5000 (multiplicity 1)  2 O 2.14
Pd: 0.5000 0.5000 0.5000 (multiplicity 1)  4 Nb 2.89, 8 Ti 2.96
O: 0.0000 0.0000 0.0000 (multiplicity 1)  4 Ti 2.05, 2 Nb 2.14

=====

Here is an optimized crystal structure of NbTlPdO4 from Alexandria via LeMat-Bulk. Energies are from PBE-GGA.

The uncorrected formation energy comes out at -1.37 eV per atom. The calculation puts the total magnetic moment at 0.00 μB/f.u. As for the final energy: -6.72 eV per atom.

Cell: 5.9553 6.1841 11.8429 Å, 90.00 90.00 90.00°
Closest atoms and distances in Å follow each position.
Space group Imma (No. 74)
Unique sites:
Nb: 0.0000 0.0000 0.0000 (multiplicity 4)  6 O 2.02-2.10
Tl: 0.0000 0.2500 0.3286 (multiplicity 4)  4 O 2.52-2.60
Pd: 0.2500 0.2500 0.7500 (multiplicity 4)  4 O 2.13
O: 0.0000 0.0497 0.8250 (multiplicity 8)  1 Nb 2.10, 2 Pd 2.13
O: 0.2156 0.2500 0.0135 (multiplicity 8)  2 Nb 2.02